No. 1
Compound: MgOsW2
Source: Alexandria
Functional: SCAN
Structure: PBEsol geometry

```
MgOsW2
1.0
3.071 0.000 0.000
0.000 4.534 0.000
-1.535 -2.267 4.441
W Os Mg
2 1 1
direct
0.736 0.236 0.472 W
0.999 0.999 0.998 W
0.260 0.760 0.520 Os
0.505 0.505 0.009 Mg
```

Summary:
- DFT formation energy: 272 meV per atom
- Calculated density: 15.6 g cm⁻³
- Size of the total moment: 0.0 μB per cell
- V: 15.5 Å³ per atom
- Total DFT energy (no corrections): -53.79 eV per atom

---

No. 2
Compound: HfMoBr3
Source: Alexandria
Functional: SCAN
Structure: PBEsol geometry

```
HfMoBr3
1.0
-0.696 1.531 4.684
-3.202 -3.735 0.745
3.745 -2.910 1.508
Br Mo Hf
3 1 1
direct
0.000 0.500 0.000 Br
0.000 0.000 0.500 Br
0.500 0.000 0.000 Br
0.000 0.000 0.000 Mo
0.500 0.500 0.500 Hf
```

Summary:
- Calculated density: 6.9 g cm⁻³
- Size of the total moment: 5.4 μB per cell
- V: 24.6 Å³ per atom
- Raw formation energy: 0.770 eV per atom
- Total DFT energy (no corrections): -30.42 eV per atom

---

Q: What is the formula in the second record?
A: HfMoBr3